No. 1
An optimized crystal structure of AcLa5Sm2Dy. Source: the Alexandria database, functional PBE-GGA.

Calculated values
- Space group: I4/mcm
- Calculated formation energy: 251 meV per atom
- Raw total energy: -81.063 eV/cell
- Crystal system: tetragonal

Structure (CIF):
```
data_AcLa5Sm2Dy
_symmetry_space_group_name_H-M 'P 1'
_symmetry_Int_Tables_number 1
_symmetry_space_group_name_Hall 'P 1'
_cell_length_a 10.146
_cell_length_b 10.146
_cell_length_c 10.146
_cell_angle_alpha 125.57
_cell_angle_beta 125.57
_cell_angle_gamma 80.60
loop_
_atom_site_label
_atom_site_fract_x
_atom_site_fract_y
_atom_site_fract_z
Ac1 0.250 0.250 0.000
Ac2 0.750 0.750 0.000
La1 0.000 0.000 0.000
La2 0.068 0.568 0.900
La3 0.168 0.068 0.500
La4 0.332 0.832 0.900
La5 0.432 0.332 0.500
La6 0.500 0.500 0.000
La7 0.568 0.668 0.500
La8 0.668 0.168 0.100
La9 0.832 0.932 0.500
La10 0.932 0.432 0.100
Sm1 0.114 0.386 0.500
Sm2 0.386 0.886 0.272
Sm3 0.614 0.114 0.728
Sm4 0.886 0.614 0.500
Dy1 0.250 0.750 0.500
Dy2 0.750 0.250 0.500
```

---

No. 2
An optimized crystal structure of AcLa3SmDy. Source: the Alexandria database, functional PBE-GGA.

Calculated values
- Space group: C2/m
- Calculated formation energy: 177 meV per atom
- Raw total energy: -54.294 eV/cell
- Crystal system: monoclinic

Structure (CIF):
```
data_AcLa3SmDy
_symmetry_space_group_name_H-M 'P 1'
_symmetry_Int_Tables_number 1
_symmetry_space_group_name_Hall 'P 1'
_cell_length_a 10.997
_cell_length_b 10.997
_cell_length_c 7.096
_cell_angle_alpha 91.28
_cell_angle_beta 91.28
_cell_angle_gamma 31.55
loop_
_atom_site_label
_atom_site_fract_x
_atom_site_fract_y
_atom_site_fract_z
Ac1 0.149 0.149 0.035
Ac2 0.851 0.851 0.965
La1 0.015 0.015 0.749
La2 0.281 0.281 0.716
La3 0.342 0.342 0.250
La4 0.658 0.658 0.750
La5 0.719 0.719 0.284
La6 0.985 0.985 0.251
Sm1 0.442 0.442 0.715
Sm2 0.558 0.558 0.285
Dy1 0.140 0.140 0.495
Dy2 0.860 0.860 0.505
```

---

No. 3
An optimized crystal structure of AcLa6Sm2Dy. Source: the Alexandria database, functional PBE-GGA.

Calculated values
- Space group: C2/m
- Calculated formation energy: 177 meV per atom
- Raw total energy: -45.941 eV/cell
- Crystal system: monoclinic

Structure (CIF):
```
data_AcLa6Sm2Dy
_symmetry_space_group_name_H-M 'P 1'
_symmetry_Int_Tables_number 1
_symmetry_space_group_name_Hall 'P 1'
_cell_length_a 6.803
_cell_length_b 6.803
_cell_length_c 10.108
_cell_angle_alpha 112.46
_cell_angle_beta 112.46
_cell_angle_gamma 60.82
loop_
_atom_site_label
_atom_site_fract_x
_atom_site_fract_y
_atom_site_fract_z
Ac1 0.000 0.000 0.000
La1 0.083 0.538 0.668
La2 0.355 0.355 0.078
La3 0.462 0.917 0.332
La4 0.538 0.083 0.668
La5 0.645 0.645 0.922
La6 0.917 0.462 0.332
Sm1 0.066 0.066 0.689
Sm2 0.934 0.934 0.311
Dy1 0.500 0.500 0.500
```

---

| no. | total moment (μB per formula unit) |
| --- | --- |
| 1 | 0.00 |
| 2 | 0.00 |
| 3 | 0.00 |